[1]
A plane-wave DFT calculation with PBE was carried out for a relaxed structure of KNa2FeH6.

* uncorrected energy: -33.4 eV for the cell shown
* total magnetic moment: 1.00 μB/f.u.

abc: 5.408 5.408 5.408
angles: 62.89 62.89 62.89
Fractional positions:
K1 0.000 0.000 0.000
Na1 0.267 0.267 0.267
Na2 0.733 0.733 0.733
Fe1 0.500 0.500 0.500
H1 0.198 0.429 0.657
H2 0.343 0.802 0.571
H3 0.429 0.657 0.198
H4 0.571 0.343 0.802
H5 0.657 0.198 0.429
H6 0.802 0.571 0.343

[2]
A plane-wave DFT calculation with PBE was carried out for a relaxed structure of NaFe4Sb12.

* uncorrected energy: -86.0 eV for the cell shown
* total magnetic moment: 3.05 μB/f.u.
* formation energy without anion corrections: -81 meV per atom

abc: 7.972 7.972 7.972
angles: 109.47 109.47 109.47
Fractional positions:
Na1 0.000 0.000 0.000
Fe1 0.000 0.000 0.500
Fe2 0.000 0.500 0.000
Fe3 0.500 0.000 0.000
Fe4 0.500 0.500 0.500
Sb1 0.161 0.495 0.334
Sb2 0.161 0.827 0.666
Sb3 0.173 0.334 0.839
Sb4 0.334 0.161 0.495
Sb5 0.334 0.839 0.173
Sb6 0.495 0.334 0.161
Sb7 0.505 0.666 0.839
Sb8 0.666 0.161 0.827
Sb9 0.666 0.839 0.505
Sb10 0.827 0.666 0.161
Sb11 0.839 0.173 0.334
Sb12 0.839 0.505 0.666

[3]
A plane-wave DFT calculation with PBE was carried out for a relaxed structure of Sc2AlGa2Ru5.

* uncorrected energy: -145.3 eV for the cell shown
* total magnetic moment: 0.01 μB/f.u.
* energy of formation: -0.383 eV/atom

abc: 9.708 9.708 3.345
angles: 90.00 90.00 90.00
Fractional positions:
Sc1 0.167 0.333 0.000
Sc2 0.333 0.833 0.000
Sc3 0.667 0.167 0.000
Sc4 0.833 0.667 0.000
Al1 0.000 0.000 0.000
Al2 0.500 0.500 0.000
Ga1 0.133 0.633 0.000
Ga2 0.367 0.133 0.000
Ga3 0.633 0.867 0.000
Ga4 0.867 0.367 0.000
Ru1 0.000 0.500 0.500
Ru2 0.060 0.808 0.500
Ru3 0.192 0.060 0.500
Ru4 0.308 0.560 0.500
Ru5 0.440 0.308 0.500
Ru6 0.500 0.000 0.500
Ru7 0.560 0.692 0.500
Ru8 0.692 0.440 0.500
Ru9 0.808 0.940 0.500
Ru10 0.940 0.192 0.500

[4]
A plane-wave DFT calculation with PBE was carried out for a relaxed structure of Sc2Sb2Br.

* uncorrected energy: -53.4 eV for the cell shown
* total magnetic moment: 0.00 μB/f.u.
* formation energy without anion corrections: -825 meV per atom
* energy above the lowest structure with this stoichiometry: 0 meV/atom

abc: 7.874 7.874 3.960
angles: 90.00 90.00 90.00
Fractional positions:
Sc1 0.163 0.337 0.000
Sc2 0.337 0.837 0.000
Sc3 0.663 0.163 0.000
Sc4 0.837 0.663 0.000
Sb1 0.135 0.635 0.500
Sb2 0.365 0.135 0.500
Sb3 0.635 0.865 0.500
Sb4 0.865 0.365 0.500
Br1 0.000 0.000 0.000
Br2 0.500 0.500 0.000

[5]
A plane-wave DFT calculation with PBE was carried out for a relaxed structure of CaIr2Se.

* uncorrected energy: -22.9 eV for the cell shown
* total magnetic moment: 0.41 μB/f.u.
* formation energy without anion corrections: 67 meV per atom
* energy above the lowest structure with this stoichiometry: 308 meV/atom

abc: 5.504 5.504 5.504
angles: 138.76 138.76 59.74
Fractional positions:
Ca1 0.000 0.000 0.000
Ir1 0.250 0.750 0.500
Ir2 0.750 0.250 0.500
Se1 0.500 0.500 0.000

[6]
A plane-wave DFT calculation with PBE was carried out for a relaxed structure of Dy6Sn2SbTe3.

* uncorrected energy: -62.7 eV for the cell shown
* total magnetic moment: 0.00 μB/f.u.
* formation energy without anion corrections: -1127 meV per atom

abc: 9.809 9.809 8.785
angles: 102.91 102.91 25.86
Fractional positions:
Dy1 0.004 0.004 0.246
Dy2 0.331 0.331 0.424
Dy3 0.335 0.335 0.907
Dy4 0.665 0.665 0.093
Dy5 0.669 0.669 0.576
Dy6 0.996 0.996 0.754
Sn1 0.167 0.167 0.333
Sn2 0.833 0.833 0.667
Sb1 0.500 0.500 0.000
Te1 0.165 0.165 0.834
Te2 0.500 0.500 0.500
Te3 0.835 0.835 0.166

[7]
A plane-wave DFT calculation with PBE was carried out for a relaxed structure of CsGe3C.

* uncorrected energy: -17.7 eV for the cell shown
* total magnetic moment: 0.00 μB/f.u.
* energy of formation: 1.245 eV/atom
* energy above the lowest structure with this stoichiometry: 0 meV/atom

abc: 4.840 4.840 4.840
angles: 90.00 90.00 90.00
Fractional positions:
Cs1 0.000 0.000 0.000
Ge1 0.000 0.500 0.500
Ge2 0.500 0.000 0.500
Ge3 0.500 0.500 0.000
C1 0.500 0.500 0.500

[8]
A plane-wave DFT calculation with PBE was carried out for a relaxed structure of Er5ThSc4.

* uncorrected energy: -51.9 eV for the cell shown
* total magnetic moment: 0.00 μB/f.u.
* energy of formation: 0.365 eV/atom
* energy above the lowest structure with this stoichiometry: 327 meV/atom

abc: 7.556 7.556 7.556
angles: 99.64 99.64 131.70
Fractional positions:
Er1 0.000 0.000 0.000
Er2 0.501 0.601 0.608
Er3 0.601 0.993 0.100
Er4 0.892 0.501 0.900
Er5 0.993 0.892 0.392
Th1 0.467 0.467 0.000
Sc1 0.188 0.603 0.299
Sc2 0.304 0.889 0.701
Sc3 0.603 0.304 0.415
Sc4 0.889 0.188 0.585

Q: What is the uncorrected energy in the eighth record?
A: -51.9 eV for the cell shown